No. 1
## Tb3ZnP2Pt9 (PBE)

Data for a geometry-optimized Tb3ZnP2Pt9 structure.

Summary:
Its symmetry is P-3m1. Its density of states at the Fermi level is 6.6 states/eV/f.u. The value obtained for the formation energy is -18.6 kcal/mol of atoms.

abc: 5.6641 5.6641 10.6397
angles: 90.00 90.00 120.00
Positions (direct):
1 Tb 0.3333 0.6667 0.5819
2 Tb 0.0000 0.0000 0.0000
3 Tb 0.6667 0.3333 0.4181
4 Zn 0.0000 0.0000 0.5000
5 P 0.3333 0.6667 0.1613
6 P 0.6667 0.3333 0.8387
7 Pt 0.8358 0.1642 0.6847
8 Pt 0.8358 0.6716 0.6847
9 Pt 0.3284 0.1642 0.6847
10 Pt 0.6716 0.8358 0.3153
11 Pt 0.1642 0.3284 0.3153
12 Pt 0.1642 0.8358 0.3153
13 Pt 0.5000 0.0000 0.0000
14 Pt 0.0000 0.5000 0.0000
15 Pt 0.5000 0.5000 0.0000

No. 2
## Tc2PPt (PBE)

Data for a geometry-optimized Tc2PPt structure.

Summary:
Its symmetry is Amm2. Its density of states at the Fermi level is 2.8 states/eV/f.u. The value obtained for the formation energy is -4.3 kcal/mol of atoms.

abc: 5.4240 5.4240 3.8597
angles: 90.00 90.00 149.40
Positions (direct):
1 Tc 0.9166 0.0834 0.0000
2 Tc 0.2976 0.7024 0.5000
3 P 0.6992 0.3008 0.0000
4 Pt 0.5587 0.4413 0.5000

No. 3
## TcPPt2 (PBE)

Data for a geometry-optimized TcPPt2 structure.

Summary:
Its symmetry is I-42d. Its density of states at the Fermi level is 3.4 states/eV/f.u. The value obtained for the formation energy is 8.7 kcal/mol of atoms.

abc: 4.8044 4.8044 7.5284
angles: 71.39 71.39 90.00
Positions (direct):
1 P 0.5000 0.5000 0.0000
2 P 0.2500 0.7500 0.5000
3 Tc 0.0000 0.0000 0.0000
4 Tc 0.7500 0.2500 0.5000
5 Pt 0.5812 0.1250 0.2500
6 Pt 0.1688 0.6250 0.2500
7 Pt 0.3750 0.4188 0.7500
8 Pt 0.8750 0.8312 0.7500

No. 4
## TcPPt2 (PBE)

Data for a geometry-optimized TcPPt2 structure.

Summary:
Its symmetry is Cm. Its density of states at the Fermi level is 2.7 states/eV/f.u. The value obtained for the formation energy is -2.9 kcal/mol of atoms.

abc: 4.7250 4.7250 4.9819
angles: 69.17 69.17 35.32
Positions (direct):
1 Tc 0.4638 0.4638 0.5795
2 P 0.7403 0.7403 0.6614
3 Pt 0.0400 0.0400 0.0026
4 Pt 0.2560 0.2560 0.2565

No. 5
## Tc2PPt (PBE)

Data for a geometry-optimized Tc2PPt structure.

Summary:
Its symmetry is Imm2. Its density of states at the Fermi level is 3.0 states/eV/f.u. The value obtained for the formation energy is -4.3 kcal/mol of atoms.

abc: 5.0796 5.0796 5.0796
angles: 145.87 129.42 62.43
Positions (direct):
1 Tc 0.0003 0.0003 0.0000
2 Tc 0.2839 0.7839 0.5000
3 P 0.4984 0.4984 0.0000
4 Pt 0.7173 0.2173 0.5000

No. 6
## Tc2P2Pt (PBE)

Data for a geometry-optimized Tc2P2Pt structure.

Summary:
Its symmetry is P4/mbm. Its density of states at the Fermi level is 3.1 states/eV/f.u. The value obtained for the formation energy is -6.0 kcal/mol of atoms.

abc: 6.9155 6.9155 2.8581
angles: 90.00 90.00 90.00
Positions (direct):
1 P 0.3515 0.8515 0.0000
2 P 0.8515 0.6485 0.0000
3 P 0.6485 0.1485 0.0000
4 P 0.1485 0.3515 0.0000
5 Tc 0.1489 0.6489 0.5000
6 Tc 0.6489 0.8511 0.5000
7 Tc 0.8511 0.3511 0.5000
8 Tc 0.3511 0.1489 0.5000
9 Pt 0.0000 0.0000 0.0000
10 Pt 0.5000 0.5000 0.0000

No. 7
## Tc2PPt (PBE)

Data for a geometry-optimized Tc2PPt structure.

Summary:
Its symmetry is R-3m. Its density of states at the Fermi level is 3.3 states/eV/f.u. The value obtained for the formation energy is -3.7 kcal/mol of atoms.

abc: 8.4057 8.4057 8.4057
angles: 19.29 19.29 19.29
Positions (direct):
1 Tc 0.7587 0.7587 0.7587
2 Tc 0.2413 0.2413 0.2413
3 P 0.5000 0.5000 0.5000
4 Pt 0.0000 0.0000 0.0000

No. 8
## TcPPt2 (PBE)

Data for a geometry-optimized TcPPt2 structure.

Summary:
Its symmetry is P4/mmm. Its density of states at the Fermi level is 2.9 states/eV/f.u. The value obtained for the formation energy is 4.9 kcal/mol of atoms.

abc: 4.7485 4.7485 2.7316
angles: 90.00 90.00 90.00
Positions (direct):
1 Tc 0.5000 0.5000 0.5000
2 P 0.0000 0.0000 0.5000
3 Pt 0.5000 0.0000 0.0000
4 Pt 0.0000 0.5000 0.0000

No. 9
## TcPPt2 (PBE)

Data for a geometry-optimized TcPPt2 structure.

Summary:
Its symmetry is P4/mmm. Its density of states at the Fermi level is 2.2 states/eV/f.u. The value obtained for the formation energy is 1.3 kcal/mol of atoms.

abc: 3.7434 3.7484 4.1892
angles: 90.00 90.00 90.00
Positions (direct):
1 Tc 0.5000 0.0000 0.5000
2 P 0.0000 0.5000 0.5000
3 Pt 0.0000 0.0000 0.0000
4 Pt 0.5000 0.5000 0.0000

No. 10
## TcPPt (PBE)

Data for a geometry-optimized TcPPt structure.

Summary:
Its symmetry is F-43m. The distance to the lowest polymorph of the same formula is 0.451 eV/atom. Its density of states at the Fermi level is 3.7 states/eV/f.u. The value obtained for the formation energy is 1.6 kcal/mol of atoms.

abc: 4.1443 4.1443 4.1443
angles: 60.00 60.00 60.00
Positions (direct):
1 Tc 0.2500 0.2500 0.2500
2 P 0.0000 0.0000 0.0000
3 Pt 0.5000 0.5000 0.5000

No. 11
## Tc2PPt (PBE)

Data for a geometry-optimized Tc2PPt structure.

Summary:
Its symmetry is Immm. Its density of states at the Fermi level is 2.9 states/eV/f.u. The value obtained for the formation energy is -4.4 kcal/mol of atoms.

abc: 5.1731 5.1731 5.1731
angles: 147.22 129.87 61.19
Positions (direct):
1 Tc 0.7090 0.7090 0.0000
2 Tc 0.2910 0.2910 0.0000
3 P 0.5000 0.0000 0.5000
4 Pt 0.0000 0.5000 0.5000

No. 12
## TcPPt (PBE)

Data for a geometry-optimized TcPPt structure.

Summary:
Its symmetry is P-3m1. The distance to the lowest polymorph of the same formula is 0.379 eV/atom. Its density of states at the Fermi level is 2.6 states/eV/f.u. The value obtained for the formation energy is 0.0 kcal/mol of atoms.

abc: 3.7341 3.7341 8.2166
angles: 90.00 90.00 120.00
Positions (direct):
1 P 0.6667 0.3333 0.5916
2 P 0.3333 0.6667 0.4084
3 Tc 0.6667 0.3333 0.2944
4 Tc 0.3333 0.6667 0.7056
5 Pt 0.6667 0.3333 0.9053
6 Pt 0.3333 0.6667 0.0947

Number 1: total magnetization 0.00 Bohr magnetons per cell. Number 2: total magnetization 0.00 Bohr magnetons per cell. Number 3: total magnetization 1.16 Bohr magnetons per cell. Number 4: total magnetization 0.00 Bohr magnetons per cell. Number 5: total magnetization 0.00 Bohr magnetons per cell. Number 6: total magnetization 0.00 Bohr magnetons per cell. Number 7: total magnetization 0.00 Bohr magnetons per cell. Number 8: total magnetization 0.98 Bohr magnetons per cell. Number 9: total magnetization 0.00 Bohr magnetons per cell. Number 10: total magnetization 0.00 Bohr magnetons per cell. Number 11: total magnetization 0.00 Bohr magnetons per cell. Number 12: total magnetization 0.00 Bohr magnetons per cell.